GePdAu3 | GGA-PBE | relaxed

Values from the calculation:
Space-group type: Ima2
DFT formation energy in eV/f.u.: 0.1
Polymorph energy (0 for the lowest one) in meV/atom: 0
Total energy in eV per atom: -3.90
Total moment in μB/cell: 0.00

Structure (POSCAR):
```
GePdAu3
1.0
-4.696 3.585 2.828
4.696 -3.585 2.828
4.696 3.585 -2.828
Ge Pd Au
2 2 6
direct
0.250 0.250 0.500
0.750 0.750 0.500
0.710 0.000 0.210
0.789 0.500 0.790
0.185 0.499 0.186
0.254 0.524 0.775
0.254 0.979 0.230
0.314 0.999 0.814
0.749 0.024 0.770
0.749 0.479 0.225
```

=====

LiAcGe | GGA-PBE | relaxed

Values from the calculation:
Space-group type: Pnma
DFT formation energy in eV/f.u.: -1.8
Polymorph energy (0 for the lowest one) in meV/atom: 0
Total energy in eV per atom: -4.16
Total moment in μB/cell: 0.00

Structure (POSCAR):
```
LiAcGe
1.0
8.285 0.000 0.000
0.000 4.667 0.000
0.000 0.000 8.066
Li Ac Ge
4 4 4
direct
0.249 0.250 0.084
0.251 0.750 0.584
0.749 0.250 0.416
0.751 0.750 0.916
0.000 0.250 0.749
0.000 0.750 0.251
0.500 0.250 0.751
0.500 0.750 0.249
0.249 0.750 0.917
0.251 0.250 0.417
0.749 0.750 0.583
0.751 0.250 0.083
```

=====

Pr3SnRh3 | GGA-PBE | relaxed

Values from the calculation:
Space-group type: Cmcm
DFT formation energy in eV/f.u.: -5.0
Polymorph energy (0 for the lowest one) in meV/atom: 0
Total energy in eV per atom: -6.49
Total moment in μB/cell: 0.00

Structure (POSCAR):
```
Pr3SnRh3
1.0
2.238 -5.345 0.000
2.238 5.345 0.000
0.000 0.000 13.719
Pr Sn Rh
6 2 6
direct
0.014 0.986 0.750
0.295 0.705 0.605
0.295 0.705 0.895
0.705 0.295 0.105
0.705 0.295 0.395
0.986 0.014 0.250
0.000 0.000 0.000
0.000 0.000 0.500
0.259 0.741 0.250
0.414 0.586 0.093
0.414 0.586 0.407
0.586 0.414 0.593
0.586 0.414 0.907
0.741 0.259 0.750
```

=====

Dy2YZnC | GGA-PBE | relaxed

Values from the calculation:
Space-group type: P4/mmm
DFT formation energy in eV/f.u.: -1.2
Total energy in eV per atom: -5.47
Total moment in μB/cell: 0.67

Structure (POSCAR):
```
Dy2YZnC
1.0
4.885 0.000 0.000
0.000 4.885 0.000
0.000 0.000 4.885
Dy Y Zn C
2 1 1 1
direct
0.000 0.500 0.000
0.500 0.000 0.000
0.000 0.000 0.500
0.500 0.500 0.500
0.000 0.000 0.000
```

=====

Ba2TiCu2O6 | GGA-PBE | relaxed

Values from the calculation:
Raw formation energy in eV/f.u.: -21.81
Space-group type: R-3m
Total energy in eV per atom: -6.50
Total moment in μB/cell: 2.06

Structure (POSCAR):
```
Ba2TiCu2O6
1.0
2.946 1.701 5.365
-2.946 1.701 5.365
0.000 -3.402 5.365
Ba Ti Cu O
2 1 2 6
direct
0.223 0.223 0.223
0.777 0.777 0.777
0.000 0.000 0.000
0.417 0.417 0.417
0.583 0.583 0.583
0.226 0.771 0.771
0.229 0.229 0.774
0.229 0.774 0.229
0.771 0.226 0.771
0.771 0.771 0.226
0.774 0.229 0.229
```